# 1
# CaLa3Ge

An optimized crystal structure of CaLa3Ge (PBE-GGA, Alexandria).

Geometry as extended XYZ:
```
5
Lattice="5.6555 0.0000 0.0000 0.0000 5.6555 0.0000 0.0000 0.0000 5.6555" Properties=species:S:1:pos:R:3 pbc="T T T"
Ge 2.8278 2.8278 2.8278
Ca 0.0000 0.0000 0.0000
La 0.0000 2.8278 0.0000
La 0.0000 0.0000 2.8278
La 2.8278 0.0000 0.0000
```

* space group: Pm-3m (221)
* E: -3.47 eV per atom
* formation enthalpy at 0 K: 0.81 eV/atom

# 2
# TiCrBr2

An optimized crystal structure of TiCrBr2 (PBE-GGA, Alexandria).

Geometry as extended XYZ:
```
4
Lattice="-2.5207 -0.6715 3.9612 -0.5987 3.5707 3.0639 -4.2604 2.0302 0.4726" Properties=species:S:1:pos:R:3 pbc="T T T"
Cr -3.6899 2.4647 3.7489
Br -1.8449 1.2323 1.8744
Br -5.5348 3.6970 5.6233
Ti 0.0000 0.0000 0.0000
```

* space group: Fm-3m (225)
* ΔE_f (raw): 0.18 eV/atom
* E: -5.04 eV per atom

# 3
# Ni3Ir4Os2

An optimized crystal structure of Ni3Ir4Os2 (PBE-GGA, Alexandria).

Geometry as extended XYZ:
```
9
Lattice="-1.6424 2.3355 2.4352 -4.1051 1.6440 -1.4561 -5.4754 -5.5371 1.6135" Properties=species:S:1:pos:R:3 pbc="T T T"
Ni -4.3680 -1.1269 1.0241
Ni 0.0000 0.0000 0.0000
Ni -6.8549 -0.4307 1.5685
Ir -8.7121 -2.2675 2.0766
Ir -5.9250 -0.2348 -0.8829
Ir -5.2979 -1.3227 3.4754
Ir -2.5108 0.7100 0.5159
Os -6.1596 -2.9546 1.5673
Os -5.0633 1.3970 1.0253
```

* space group: C2/m (12)
* E: -8.33 eV per atom
* formation enthalpy at 0 K: 0.03 eV/atom

# 4
# Cs2TaTe4

An optimized crystal structure of Cs2TaTe4 (PBE-GGA, Alexandria).

Geometry as extended XYZ:
```
7
Lattice="5.5764 0.0000 0.0000 0.0000 5.5764 0.0000 2.7882 2.7882 9.5459" Properties=species:S:1:pos:R:3 pbc="T T T"
Cs 2.7882 2.7882 2.8411
Cs 5.5764 5.5764 6.7048
Te 2.7882 2.7882 6.7813
Te 5.5764 5.5764 2.7647
Te 0.0000 2.7882 0.0000
Te 2.7882 0.0000 0.0000
Ta 0.0000 0.0000 0.0000
```

* space group: I4/mmm (139)
* ΔE_f (raw): -0.52 eV/atom
* E: -4.25 eV per atom

# 5
# Ba2Mg5Ge4

An optimized crystal structure of Ba2Mg5Ge4 (PBE-GGA, Alexandria).

Geometry as extended XYZ:
```
11
Lattice="6.5218 0.0000 0.0000 3.2609 5.7115 0.0000 3.2609 0.0000 7.7224" Properties=species:S:1:pos:R:3 pbc="T T T"
Ba 6.5218 0.0000 2.2829
Ba 3.2609 0.0000 5.4395
Mg 3.2609 0.0000 0.0000
Mg 1.6304 2.8558 0.0000
Mg 4.8913 2.8558 0.0000
Mg 4.8913 2.8558 3.8612
Mg 8.1522 2.8558 3.8612
Ge 6.5218 1.4549 5.5489
Ge 6.5218 4.2567 2.1735
Ge 3.2609 1.4549 2.1735
Ge 9.7827 4.2567 5.5489
```

* space group: Fmmm (69)
* E: -3.05 eV per atom
* formation enthalpy at 0 K: -0.30 eV/atom

# 6
# PrTi2MnN4

An optimized crystal structure of PrTi2MnN4 (PBE-GGA, Alexandria).

Geometry as extended XYZ:
```
16
Lattice="-2.8135 0.2019 1.4684 -1.1139 -0.4872 -5.5109 -0.2431 -10.4826 0.9758" Properties=species:S:1:pos:R:3 pbc="T T T"
Pr -0.6823 -7.9386 -0.2156
Pr -3.4883 -2.8293 -2.8511
Ti -1.9924 -5.9737 -2.9960
Ti -2.0774 -0.4475 -0.4753
Ti -2.1782 -4.7941 -0.0707
Ti -2.0932 -10.3203 -2.5914
Mn -3.2841 -8.0207 -1.7460
Mn -0.8865 -2.7472 -1.3207
N -1.3660 -1.3679 -2.4292
N -2.7370 -6.4841 -0.9089
N -2.8046 -9.4000 -0.6375
N -1.4336 -4.2838 -2.1578
N -0.1216 -5.2413 0.4879
N 0.0000 0.0000 0.0000
N -2.3081 -8.1877 -3.2964
N -1.8625 -2.5802 0.2297
```

* space group: Cmcm (63)
* ΔE_f (raw): -1.19 eV/atom
* E: -9.07 eV per atom

# 7
# YMg2CoSe

An optimized crystal structure of YMg2CoSe (PBE-GGA, Alexandria).

Geometry as extended XYZ:
```
5
Lattice="-0.0019 -1.5709 4.5252 2.6819 -3.9842 -1.3820 4.0420 2.4278 0.8445" Properties=species:S:1:pos:R:3 pbc="T T T"
Y 1.3409 -1.9921 -0.6910
Mg 2.0210 1.2139 0.4223
Mg -0.0009 -0.7855 2.2626
Co 0.0000 0.0000 0.0000
Se 3.3610 -1.5637 1.9938
```

* space group: P4/mmm (123)
* ΔE_f (raw): -0.17 eV/atom
* E: -4.22 eV per atom

# 8
# Hg2N

An optimized crystal structure of Hg2N (PBE-GGA, Alexandria).

Geometry as extended XYZ:
```
6
Lattice="0.0000 5.1368 5.1368 5.1368 0.0000 5.1368 5.1368 5.1368 0.0000" Properties=species:S:1:pos:R:3 pbc="T T T"
Hg 6.4210 3.8526 3.8526
Hg 3.8526 3.8526 6.4210
Hg 3.8526 6.4210 3.8526
Hg 6.4210 6.4210 6.4210
N 7.7052 7.7052 7.7052
N 5.1368 5.1368 5.1368
```

* space group: Fd-3m (227)
* ΔE_f (raw): 0.84 eV/atom
* E: -2.14 eV per atom

# 9
# Ta4CoB

An optimized crystal structure of Ta4CoB (PBE-GGA, Alexandria).

Geometry as extended XYZ:
```
12
Lattice="6.0049 0.0000 0.0000 0.0000 6.0049 0.0000 -3.0024 -3.0024 5.0324" Properties=species:S:1:pos:R:3 pbc="T T T"
Ta 1.9842 4.9866 1.3841
Ta 4.9866 4.0207 1.3841
Ta 1.0182 1.9842 1.3841
Ta 1.9842 1.0182 3.6483
Ta -1.9842 -1.0182 3.6483
Ta 1.0182 -1.9842 3.6483
Ta -1.0182 1.9842 3.6483
Ta 4.0207 1.0182 1.3841
Co 3.0024 3.0024 0.0000
Co 0.0000 0.0000 0.0000
B 0.0000 0.0000 2.5162
B 3.0024 3.0024 2.5162
```

* space group: I4/mcm (140)
* E: -10.28 eV per atom
* formation enthalpy at 0 K: -0.08 eV/atom

# 10
# HgSeCl2

An optimized crystal structure of HgSeCl2 (PBE-GGA, Alexandria).

Geometry as extended XYZ:
```
4
Lattice="-4.3516 0.6830 -1.2137 -0.2754 -5.7009 -2.2208 -1.5504 -5.6300 2.3907" Properties=species:S:1:pos:R:3 pbc="T T T"
Hg -1.0366 -6.5151 0.0501
Se -3.4298 -7.5878 -0.5729
Cl -1.7672 -10.9700 0.1627
Cl -2.6826 -2.5711 -0.4288
```

* space group: Pm (6)
* ΔE_f (raw): -0.28 eV/atom
* E: -2.15 eV per atom

# 11
# LaScZn

An optimized crystal structure of LaScZn (PBE-GGA, Alexandria).

Geometry as extended XYZ:
```
3
Lattice="-1.7742 -0.0692 4.6185 2.8965 -1.4472 3.7416 1.5983 3.3084 3.3141" Properties=species:S:1:pos:R:3 pbc="T T T"
La 0.0000 0.0000 0.0000
Sc 1.3603 0.8960 5.8371
Zn 0.6801 0.4480 2.9186
```

* space group: F-43m (216)
* E: -4.12 eV per atom
* formation enthalpy at 0 K: 0.06 eV/atom

# 12
# KRb

An optimized crystal structure of KRb (PBE-GGA, Alexandria).

Geometry as extended XYZ:
```
12
Lattice="6.8850 0.0000 0.0000 0.0000 6.8487 0.0000 0.0000 0.0000 20.6446" Properties=species:S:1:pos:R:3 pbc="T T T"
K 0.0000 0.0240 13.7631
K 3.4425 6.8248 17.2038
K 3.4425 6.8248 3.4408
K 0.0000 0.0240 6.8815
K 0.0000 6.8063 0.0000
K 3.4425 0.0425 10.3223
Rb 0.0000 3.3988 17.2038
Rb 3.4425 3.4500 13.7631
Rb 3.4425 3.4500 6.8815
Rb 0.0000 3.3988 3.4408
Rb 0.0000 3.4699 10.3223
Rb 3.4425 3.3788 0.0000
```

* space group: Pmmn (59)
* E: -1.03 eV per atom
* formation enthalpy at 0 K: 0.00 eV/atom

# 13
# Ba4Bi2P

An optimized crystal structure of Ba4Bi2P (PBE-GGA, Alexandria).

Geometry as extended XYZ:
```
7
Lattice="-0.6572 -1.4900 4.8295 2.4373 -6.6851 0.9585 8.2606 0.5286 3.9766" Properties=species:S:1:pos:R:3 pbc="T T T"
Ba 5.7186 -1.2045 3.0960
Ba 4.3220 -6.4421 6.6687
Ba 0.9794 -2.2715 2.1218
Ba 9.0613 -5.3751 7.6428
Bi 6.8025 -4.3634 4.9582
Bi 3.2382 -3.2832 4.8064
P 0.0000 0.0000 0.0000
```

* space group: C2/m (12)
* E: -3.88 eV per atom
* formation enthalpy at 0 K: -0.90 eV/atom

# 14
# AcSeO

An optimized crystal structure of AcSeO (PBE-GGA, Alexandria).

Geometry as extended XYZ:
```
6
Lattice="4.1842 -0.0466 -0.8813 -0.1388 4.1822 -0.8813 -0.3738 -0.3821 8.6188" Properties=species:S:1:pos:R:3 pbc="T T T"
Ac 1.0875 1.1117 5.1038
Ac 2.5842 2.6418 1.7524
Se 0.2461 0.2516 1.1468
Se 3.4256 3.5019 5.7094
O 0.7553 2.9338 3.4281
O 2.9164 0.8197 3.4281
```

* space group: I4/mmm (139)
* ΔE_f (raw): -2.54 eV/atom
* E: -6.73 eV per atom

# 15
# PmTmAlGe

An optimized crystal structure of PmTmAlGe (PBE-GGA, Alexandria).

Geometry as extended XYZ:
```
4
Lattice="-1.2980 2.1236 4.4779 -4.8759 1.2830 0.9088 -2.7600 -2.6655 3.3946" Properties=species:S:1:pos:R:3 pbc="T T T"
Ge -2.2335 0.1853 2.1953
Tm -4.4669 0.3705 4.3907
Al -6.7004 0.5558 6.5860
Pm 0.0000 0.0000 0.0000
```

* space group: F-43m (216)
* E: -4.83 eV per atom
* formation enthalpy at 0 K: -0.43 eV/atom

# 16
# Ba2Sr4Bi3O2

An optimized crystal structure of Ba2Sr4Bi3O2 (PBE-GGA, Alexandria).

Geometry as extended XYZ:
```
11
Lattice="5.1379 0.0000 0.0000 0.0000 5.1379 0.0000 -2.5690 -2.5690 14.0215" Properties=species:S:1:pos:R:3 pbc="T T T"
Ba 0.0000 0.0000 8.6446
Ba 2.5690 2.5690 5.3769
Sr 0.0000 2.5690 11.7043
Sr 2.5690 0.0000 11.7043
Sr 0.0000 2.5690 2.3172
Sr 2.5690 0.0000 2.3172
Bi 0.0000 0.0000 0.0000
Bi 0.0000 0.0000 4.8307
Bi 2.5690 2.5690 9.1908
O 0.0000 0.0000 11.2541
O 2.5690 2.5690 2.7674
```

* space group: I4/mmm (139)
* ΔE_f (raw): -1.53 eV/atom
* E: -4.46 eV per atom

# 17
# Nd2GaSn

An optimized crystal structure of Nd2GaSn (PBE-GGA, Alexandria).

Geometry as extended XYZ:
```
8
Lattice="4.2680 0.0000 0.0000 0.0000 5.7785 -2.3321 0.0000 0.0235 9.2307" Properties=species:S:1:pos:R:3 pbc="T T T"
Nd 3.2010 1.2665 3.5131
Nd 1.0670 4.5355 3.3855
Nd 1.0670 4.4873 -1.1166
Nd 3.2010 1.3147 8.0152
Ga 3.2010 3.8321 1.1441
Ga 1.0670 1.9699 5.7545
Sn 1.0670 1.9904 1.1515
Sn 3.2010 3.8115 5.7471
```

* space group: P2_1/m (11)
* E: -4.85 eV per atom
* formation enthalpy at 0 K: -0.71 eV/atom

# 18
# Zr2BiPRh

An optimized crystal structure of Zr2BiPRh (PBE-GGA, Alexandria).

Geometry as extended XYZ:
```
5
Lattice="5.4337 0.0000 0.0000 0.0000 4.8294 0.0000 0.0000 0.0000 5.4337" Properties=species:S:1:pos:R:3 pbc="T T T"
P 2.7168 2.4147 2.7168
Rh 0.0000 2.4147 0.0000
Bi 0.0000 0.0000 0.0000
Zr 0.0000 0.0000 2.7168
Zr 2.7168 0.0000 0.0000
```

* space group: P4/mmm (123)
* E: -5.55 eV per atom
* formation enthalpy at 0 K: 1.20 eV/atom

# 19
# NdTmAl6

An optimized crystal structure of NdTmAl6 (PBE-GGA, Alexandria).

Geometry as extended XYZ:
```
8
Lattice="-4.3957 1.5151 0.3597 -1.5947 -3.4245 -5.0639 -0.4016 -2.5355 5.7726" Properties=species:S:1:pos:R:3 pbc="T T T"
Nd -3.0961 -2.1481 1.4411
Tm -0.5013 -2.6098 4.8669
Al -0.2157 -1.1207 2.0843
Al -1.3551 -4.5224 2.4888
Al -1.1252 -3.0747 -0.7997
Al -2.9673 -1.0681 -1.5337
Al -3.8457 -3.6906 -1.2218
Al -3.6697 -2.5755 -3.7682
```

* space group: Amm2 (38)
* E: -4.38 eV per atom
* formation enthalpy at 0 K: -0.41 eV/atom

# 20
# Cd3Pt

An optimized crystal structure of Cd3Pt (PBE-GGA, Alexandria).

Geometry as extended XYZ:
```
8
Lattice="-2.4717 -2.4268 4.1327 4.7873 -1.0332 2.2565 -0.2237 4.7033 2.6281" Properties=species:S:1:pos:R:3 pbc="T T T"
Cd 1.0850 2.0934 1.8782
Cd 3.4787 1.5767 3.0065
Cd 1.7757 -1.1233 2.1615
Cd -1.2918 -0.0376 2.7234
Cd -1.4036 2.3141 4.0374
Cd 0.5399 -2.3367 4.2278
Pt 0.0000 0.0000 0.0000
Pt 1.0460 0.6217 4.5087
```

* space group: Pm-3n (223)
* E: -2.33 eV per atom
* formation enthalpy at 0 K: -0.13 eV/atom